1.
! CaSc2Co, optimized geometry, DFT GGA-PBEsol; values from VASP
! Density = 3.71 Mg/m³
! Formation energy from the elements = 0.08 eV per atom
! Magnetic moment = 0.000 μB/cell
! ΔE to the lowest computed polymorph = 0 meV/atom
&SYSTEM
  ibrav = 0, nat = 4, ntyp = 3
/
ATOMIC_SPECIES
Ca 40.08 Ca.upf
Sc 44.96 Sc.upf
Co 58.93 Co.upf
CELL_PARAMETERS angstrom
-1.650 2.437 5.264
1.650 -2.437 5.264
1.650 2.437 -5.264
ATOMIC_POSITIONS crystal
Ca 0.000 0.000 0.000
Sc 0.380 0.380 0.000
Sc 0.697 0.197 0.500
Co 0.214 0.714 0.500



2.
! Fe2CoNi, optimized geometry, DFT GGA-PBEsol; values from VASP
! Density = 8.85 Mg/m³
! Formation energy from the elements = 0.02 eV per atom
! Magnetic moment = 7.070 μB/cell
! ΔE to the lowest computed polymorph = 2 meV/atom
&SYSTEM
  ibrav = 0, nat = 4, ntyp = 3
/
ATOMIC_SPECIES
Fe 55.84 Fe.upf
Co 58.93 Co.upf
Ni 58.69 Ni.upf
CELL_PARAMETERS angstrom
3.544 0.000 0.000
0.000 3.544 0.000
0.000 0.000 3.424
ATOMIC_POSITIONS crystal
Fe 0.000 0.500 0.000
Fe 0.500 0.000 0.000
Co 0.000 0.000 0.500
Ni 0.500 0.500 0.500



3.
! MgNiAg3, optimized geometry, DFT GGA-PBEsol; values from VASP
! Density = 6.59 Mg/m³
! Formation energy from the elements = 1.17 eV per atom
! Magnetic moment = 0.362 μB/cell
&SYSTEM
  ibrav = 0, nat = 5, ntyp = 3
/
ATOMIC_SPECIES
Mg 24.30 Mg.upf
Ni 58.69 Ni.upf
Ag 107.87 Ag.upf
CELL_PARAMETERS angstrom
4.680 0.000 0.000
0.000 4.680 0.000
0.000 0.000 4.680
ATOMIC_POSITIONS crystal
Mg 0.000 0.000 0.000
Ni 0.500 0.500 0.500
Ag 0.000 0.000 0.500
Ag 0.000 0.500 0.000
Ag 0.500 0.000 0.000



4.
! CoSbCI2, optimized geometry, DFT GGA-PBEsol; values from VASP
! Density = 5.86 Mg/m³
! Magnetic moment = 1.561 μB/cell
! Energy relative to the elements, uncorrected = 1.643 eV per atom
&SYSTEM
  ibrav = 0, nat = 5, ntyp = 4
/
ATOMIC_SPECIES
Co 58.93 Co.upf
Sb 121.76 Sb.upf
C 12.01 C.upf
I 126.90 I.upf
CELL_PARAMETERS angstrom
5.193 0.000 0.000
0.000 5.193 0.000
0.000 0.000 4.694
ATOMIC_POSITIONS crystal
Co 0.000 0.000 0.000
Sb 0.000 0.000 0.500
C 0.500 0.500 0.500
I 0.000 0.500 0.000
I 0.500 0.000 0.000



5.
! SrCr2Ni, optimized geometry, DFT GGA-PBEsol; values from VASP
! Density = 6.56 Mg/m³
! Formation energy from the elements = 0.90 eV per atom
! Magnetic moment = 0.001 μB/cell
! ΔE to the lowest computed polymorph = 0 meV/atom
&SYSTEM
  ibrav = 0, nat = 4, ntyp = 3
/
ATOMIC_SPECIES
Sr 87.62 Sr.upf
Cr 52.00 Cr.upf
Ni 58.69 Ni.upf
CELL_PARAMETERS angstrom
1.483 0.856 8.315
-1.483 0.856 8.315
0.000 -1.712 8.315
ATOMIC_POSITIONS crystal
Sr 0.000 0.000 0.000
Cr 0.500 0.500 0.500
Cr 0.776 0.776 0.776
Ni 0.236 0.236 0.236



6.
! Li6Mn3CoP6O24, optimized geometry, DFT GGA-PBEsol; values from VASP
! Density = 3.25 Mg/m³
! Magnetic moment = 14.498 μB/cell
! Energy relative to the elements, uncorrected = -2.061 eV per atom
&SYSTEM
  ibrav = 0, nat = 40, ntyp = 5
/
ATOMIC_SPECIES
Li 6.94 Li.upf
Mn 54.94 Mn.upf
Co 58.93 Co.upf
P 30.97 P.upf
O 16.00 O.upf
CELL_PARAMETERS angstrom
8.187 0.000 0.000
4.059 7.375 0.000
0.378 4.574 7.074
ATOMIC_POSITIONS crystal
Li 0.000 0.000 0.000
Li 0.022 0.603 0.725
Li 0.113 0.306 0.371
Li 0.251 0.552 0.044
Li 0.457 0.379 0.487
Li 0.701 0.556 0.574
Mn 0.294 0.792 0.463
Mn 0.673 0.213 0.237
Mn 0.800 0.789 0.962
Co 0.195 0.188 0.764
P 0.475 0.702 0.154
P 0.493 0.283 0.860
P 0.519 0.974 0.564
P 0.970 0.019 0.629
P 0.988 0.305 0.065
P 0.993 0.714 0.348
O 0.000 0.262 0.906
O 0.001 0.510 0.993
O 0.011 0.633 0.214
O 0.039 0.169 0.603
O 0.118 0.820 0.621
O 0.142 0.128 0.254
O 0.204 0.650 0.411
O 0.286 0.338 0.802
O 0.296 0.891 0.988
O 0.360 0.170 0.569
O 0.459 0.816 0.591
O 0.467 0.498 0.217
O 0.480 0.726 0.325
O 0.484 0.348 0.004
O 0.549 0.407 0.684
O 0.550 0.069 0.362
O 0.635 0.038 0.957
O 0.666 0.673 0.105
O 0.705 0.840 0.718
O 0.780 0.153 0.481
O 0.786 0.357 0.093
O 0.875 0.964 0.231
O 0.925 0.605 0.518
O 0.953 0.911 0.839



7.
! NiRu3, optimized geometry, DFT GGA-PBEsol; values from VASP
! Density = 11.78 Mg/m³
! Formation energy from the elements = 0.15 eV per atom
! Magnetic moment = 0.005 μB/cell
&SYSTEM
  ibrav = 0, nat = 4, ntyp = 2
/
ATOMIC_SPECIES
Ni 58.69 Ni.upf
Ru 101.07 Ru.upf
CELL_PARAMETERS angstrom
1.319 0.762 8.465
-1.319 0.762 8.465
0.000 -1.523 8.465
ATOMIC_POSITIONS crystal
Ni 0.000 0.000 0.000
Ru 0.251 0.251 0.251
Ru 0.500 0.500 0.500
Ru 0.749 0.749 0.749



8.
! Co2NiOs, optimized geometry, DFT GGA-PBEsol; values from VASP
! Density = 13.64 Mg/m³
! Formation energy from the elements = 0.18 eV per atom
! Magnetic moment = 2.695 μB/cell
! ΔE to the lowest computed polymorph = 0 meV/atom
&SYSTEM
  ibrav = 0, nat = 4, ntyp = 3
/
ATOMIC_SPECIES
Co 58.93 Co.upf
Ni 58.69 Ni.upf
Os 190.23 Os.upf
CELL_PARAMETERS angstrom
3.573 0.000 0.000
0.000 3.573 0.000
0.000 0.000 3.497
ATOMIC_POSITIONS crystal
Co 0.000 0.500 0.000
Co 0.500 0.000 0.000
Ni 0.000 0.000 0.500
Os 0.500 0.500 0.500